DFT (PBE) results for a relaxed Pm4Se3O crystal.

a = 5.742 Å, b = 9.815 Å, c = 7.920 Å
α = 90.00°, β = 90.00°, γ = 90.00°
Positions (direct):
Pm1 0.250 0.035 0.231
Pm2 0.250 0.250 0.645
Pm3 0.250 0.465 0.231
Pm4 0.250 0.750 0.634
Pm5 0.750 0.250 0.366
Pm6 0.750 0.535 0.769
Pm7 0.750 0.750 0.355
Pm8 0.750 0.965 0.769
Se1 0.250 0.511 0.853
Se2 0.250 0.750 0.271
Se3 0.250 0.989 0.853
Se4 0.750 0.011 0.147
Se5 0.750 0.250 0.729
Se6 0.750 0.489 0.147
O1 0.250 0.250 0.351
O2 0.750 0.750 0.649

Output
symmetry	No. 59
formation energy without anion corrections	-1.838	eV/atom
uncorrected energy	-49.1	eV/f.u.

***

DFT (PBE) results for a relaxed KHg2Pd2 crystal.

a = 4.908 Å, b = 4.908 Å, c = 10.465 Å
α = 90.00°, β = 90.00°, γ = 90.00°
Positions (direct):
K1 0.000 0.000 0.000
K2 0.500 0.500 0.500
Hg1 0.000 0.500 0.250
Hg2 0.000 0.500 0.750
Hg3 0.500 0.000 0.250
Hg4 0.500 0.000 0.750
Pd1 0.000 0.000 0.373
Pd2 0.000 0.000 0.627
Pd3 0.500 0.500 0.127
Pd4 0.500 0.500 0.873

Output
symmetry	No. 139
uncorrected energy	-12.6	eV/f.u.

***

DFT (PBE) results for a relaxed KAlTl crystal.

a = 4.824 Å, b = 4.824 Å, c = 5.081 Å
α = 90.00°, β = 90.00°, γ = 120.00°
Positions (direct):
K1 0.000 0.000 0.000
Al1 0.333 0.667 0.500
Tl1 0.667 0.333 0.500

Output
symmetry	No. 187
uncorrected energy	-6.8	eV/f.u.

***

DFT (PBE) results for a relaxed Tb2Al4ZnPt3 crystal.

a = 4.187 Å, b = 4.187 Å, c = 10.662 Å
α = 90.00°, β = 90.00°, γ = 90.00°
Positions (direct):
Tb1 0.000 0.500 0.247
Tb2 0.500 0.000 0.753
Al1 0.000 0.000 0.000
Al2 0.000 0.500 0.633
Al3 0.500 0.000 0.367
Al4 0.500 0.500 0.000
Zn1 0.000 0.000 0.500
Pt1 0.000 0.500 0.865
Pt2 0.500 0.000 0.135
Pt3 0.500 0.500 0.500

Output
symmetry	No. 115
uncorrected energy	-53.3	eV/f.u.

***

no.,N(E_F) (states/eV per cell),M_tot (μB/atom)
1,9.46,0.00
2,4.27,0.00
3,1.53,0.00
4,5.28,0.00